(1)
Density functional theory data (PBE-GGA) for an optimized crystal structure of Ho2Er3Th3.

abc: 5.946 5.879 8.366
angles: 110.57 110.82 90.00
Element x y z (fractional)
Ho: 0.746 0.745 0.491
Ho: 0.254 0.255 0.509
Er: 0.873 0.372 0.745
Er: 0.127 0.628 0.255
Er: 0.000 0.000 0.000
Th: 0.385 0.885 0.769
Th: 0.500 0.500 0.000
Th: 0.615 0.115 0.231

Calculated values
energy relative to the lowest polymorph listed for this composition	102	meV/atom
formation energy from the elements	0.1378	eV/atom

(2)
Density functional theory data (PBE-GGA) for an optimized crystal structure of Cd2SnP4.

abc: 5.008 5.008 7.759
angles: 71.17 71.17 90.00
Element x y z (fractional)
P: 0.783 0.783 0.433
P: 0.217 0.217 0.567
P: 0.000 0.500 0.000
P: 0.500 0.000 0.000
Sn: 0.000 0.000 0.000
Cd: 0.605 0.605 0.790
Cd: 0.395 0.395 0.210

Calculated values
formation energy from the elements	0.7803	eV/atom

(3)
Density functional theory data (PBE-GGA) for an optimized crystal structure of AcLaPd2.

abc: 4.342 4.342 7.539
angles: 73.27 73.27 60.00
Element x y z (fractional)
Ac: 0.500 0.500 0.500
Pd: 0.747 0.747 0.759
Pd: 0.253 0.253 0.241
La: 0.000 0.000 0.000

Calculated values
energy relative to the lowest polymorph listed for this composition	48	meV/atom
formation energy from the elements	-0.7687	eV/atom

(4)
Density functional theory data (PBE-GGA) for an optimized crystal structure of Rb2TbPa3O12.

abc: 8.068 8.068 8.068
angles: 61.65 61.65 61.65
Element x y z (fractional)
Rb: 0.666 0.666 0.666
Rb: 0.334 0.334 0.334
Tb: 0.000 0.000 0.000
Pa: 0.500 0.000 0.000
Pa: 0.000 0.500 0.000
Pa: 0.000 0.000 0.500
O: 0.309 0.309 0.953
O: 0.933 0.933 0.329
O: 0.329 0.933 0.933
O: 0.953 0.309 0.309
O: 0.933 0.329 0.933
O: 0.309 0.953 0.309
O: 0.691 0.691 0.047
O: 0.067 0.067 0.671
O: 0.671 0.067 0.067
O: 0.047 0.691 0.691
O: 0.067 0.671 0.067
O: 0.691 0.047 0.691

Calculated values
raw formation energy	-2.69	eV per atom

(5)
Density functional theory data (PBE-GGA) for an optimized crystal structure of Rb3FeSe4.

abc: 5.728 7.180 8.508
angles: 114.96 109.67 90.00
Element x y z (fractional)
Se: 0.361 0.165 0.721
Se: 0.639 0.444 0.279
Se: 0.781 0.718 0.000
Se: 0.219 0.718 0.000
Fe: 0.500 0.474 0.000
Rb: 0.711 0.036 0.422
Rb: 0.000 0.178 0.000
Rb: 0.289 0.615 0.578

Calculated values
raw formation energy	-0.75	eV per atom

(6)
Density functional theory data (PBE-GGA) for an optimized crystal structure of ZrScSi2.

abc: 3.975 4.584 3.903
angles: 90.00 90.00 90.00
Element x y z (fractional)
Sc: 0.000 0.500 0.500
Si: 0.000 0.000 0.000
Si: 0.500 0.500 0.000
Zr: 0.500 0.000 0.500

Calculated values
raw formation energy	-0.52	eV per atom
energy relative to the lowest polymorph listed for this composition	361	meV/atom

(7)
Density functional theory data (PBE-GGA) for an optimized crystal structure of Rb2Hg4H.

abc: 5.362 5.362 9.360
angles: 106.64 106.64 90.00
Element x y z (fractional)
H: 0.000 0.000 0.000
Hg: 0.878 0.878 0.756
Hg: 0.122 0.122 0.244
Hg: 0.000 0.500 0.000
Hg: 0.500 0.000 0.000
Rb: 0.661 0.661 0.322
Rb: 0.339 0.339 0.678

Calculated values
E_tot	-0.0735	Ry/atom

(8)
Density functional theory data (PBE-GGA) for an optimized crystal structure of NpRe2.

abc: 2.986 2.986 6.303
angles: 103.70 103.70 90.00
Element x y z (fractional)
Np: 0.000 0.000 0.000
Re: 0.686 0.686 0.371
Re: 0.314 0.314 0.629

Calculated values
formation energy from the elements	0.2265	eV/atom

| no. | theoretical density (Mg/m³) |
| --- | --- |
| 1 | 10.0 |
| 2 | 4.5 |
| 3 | 8.3 |
| 4 | 5.2 |
| 5 | 3.5 |
| 6 | 4.5 |
| 7 | 6.6 |
| 8 | 19.1 |